## Sc4Ni2Pt (PBE-GGA)

Data for Sc4Ni2Pt after structural relaxation.

Structure (POSCAR):
```
Sc4Ni2Pt
1.0
2.258 1.304 7.277
-2.258 1.304 7.277
0.000 -2.607 7.277
Sc Ni Pt
4 2 1
Direct
0.120 0.120 0.120
0.371 0.371 0.371
0.629 0.629 0.629
0.880 0.880 0.880
0.246 0.246 0.246
0.754 0.754 0.754
0.500 0.500 0.500
```

Values from the calculation:
**Total magnetization**: 0.0 μB/cell
**DFT total energy**: -6.76 eV per atom
**Crystal system**: trigonal
**ΔH_f (0 K)**: -0.626 eV/atom
**Calculated volume**: 18.36 A^3/atom

=====

## BaTmBeN2 (PBE-GGA)

Data for BaTmBeN2 after structural relaxation.

Structure (POSCAR):
```
BaTmBeN2
1.0
5.155 0.000 0.000
0.000 5.748 0.000
0.000 0.000 6.713
Ba Tm Be N
2 2 2 4
Direct
0.000 0.000 0.250
0.000 0.000 0.750
0.500 0.500 0.250
0.500 0.500 0.750
0.000 0.500 0.000
0.000 0.500 0.500
0.247 0.347 0.000
0.247 0.653 0.500
0.753 0.347 0.500
0.753 0.653 0.000
```

Values from the calculation:
**Total magnetization**: 0.0 μB/cell
**DFT total energy**: -6.19 eV per atom
**Crystal system**: orthorhombic
**Energy relative to the elements, uncorrected**: -834 meV per atom
**Calculated volume**: 19.89 A^3/atom

=====

## PuSc2Be (PBE-GGA)

Data for PuSc2Be after structural relaxation.

Structure (POSCAR):
```
PuSc2Be
1.0
1.566 0.904 10.655
-1.566 0.904 10.655
0.000 -1.808 10.655
Pu Sc Be
1 2 1
Direct
0.000 0.000 0.000
0.415 0.415 0.415
0.585 0.585 0.585
0.500 0.500 0.500
```

Values from the calculation:
**Total magnetization**: 4.9 μB/cell
**DFT total energy**: -7.03 eV per atom
**E above lowest polymorph**: 588 meV per atom
**Crystal system**: trigonal
**ΔH_f (0 K)**: 0.655 eV/atom
**Calculated volume**: 22.64 A^3/atom

=====

## AcPmInSi (PBE-GGA)

Data for AcPmInSi after structural relaxation.

Structure (POSCAR):
```
AcPmInSi
1.0
0.000 3.864 3.864
3.864 0.000 3.864
3.864 3.864 0.000
Ac Pm In Si
1 1 1 1
Direct
0.000 0.000 0.000
0.500 0.500 0.500
0.250 0.250 0.250
0.750 0.750 0.750
```

Values from the calculation:
**Total magnetization**: 0.0 μB/cell
**DFT total energy**: -4.58 eV per atom
**Crystal system**: cubic
**Energy relative to the elements, uncorrected**: -328 meV per atom
**Calculated volume**: 28.85 A^3/atom

=====

## LiScBi (PBE-GGA)

Data for LiScBi after structural relaxation.

Structure (POSCAR):
```
LiScBi
1.0
2.192 -5.236 0.000
2.192 5.236 0.000
0.000 0.000 5.987
Li Sc Bi
2 2 2
Direct
0.000 0.000 0.000
0.000 0.000 0.500
0.303 0.697 0.750
0.697 0.303 0.250
0.389 0.611 0.250
0.611 0.389 0.750
```

Values from the calculation:
**Total magnetization**: 0.0 μB/cell
**DFT total energy**: -4.53 eV per atom
**E above lowest polymorph**: 60 meV per atom
**Crystal system**: orthorhombic
**ΔH_f (0 K)**: -0.487 eV/atom
**Calculated volume**: 22.91 A^3/atom